# Li6Al2Ga, relaxed, DFT GGA-PBE
data_Li6Al2Ga
_cell_length_a 7.8693
_cell_length_b 7.8693
_cell_length_c 7.9326
_cell_angle_alpha 90.00
_cell_angle_beta 90.00
_cell_angle_gamma 120.00
_space_group_name_H-M_alt 'R -3 m'
_space_group_IT_number 166
_space_group_name_Hall '-R 3 2"'
loop_
_atom_site_label
_atom_site_type_symbol
_atom_site_fract_x
_atom_site_fract_y
_atom_site_fract_z
Li1 Li 0.9998 0.3331 0.1667
Al1 Al 0.0000 0.0000 0.3316
Ga1 Ga 0.0000 0.0000 0.0000
# - total moment (μB/cell) = 0.00
# - energy of formation (eV/atom) = -0.197
# - calculated density (g/cm³) = 1.936
# - density of states at the Fermi level (states/eV per atom) = 0.167
# - energy above the lowest structure with this stoichiometry (meV/atom) = 0

=====

# Li3AlGa6, relaxed, DFT GGA-PBE
data_Li3AlGa6
_cell_length_a 10.332
_cell_length_b 5.333
_cell_length_c 6.568
_cell_angle_alpha 90.00
_cell_angle_beta 103.29
_cell_angle_gamma 90.00
_space_group_name_H-M_alt 'C 1 2/m 1'
_space_group_IT_number 12
loop_
_space_group_symop_operation_xyz
'x,y,z'
'-x,-y,-z'
'-x,y,-z'
'x,-y,z'
'x+1/2,y+1/2,z'
'-x+1/2,-y+1/2,-z'
'-x+1/2,y+1/2,-z'
'x+1/2,-y+1/2,z'
loop_
_atom_site_label
_atom_site_type_symbol
_atom_site_fract_x
_atom_site_fract_y
_atom_site_fract_z
Li1 Li 0.000 0.000 0.000
Li2 Li 0.103 0.000 0.669
Al1 Al 0.000 0.500 0.500
Ga1 Ga 0.134 0.500 0.921
Ga2 Ga 0.164 0.246 0.307
# - total moment (μB/cell) = 0.00
# - energy of formation (eV/atom) = -0.095
# - calculated density (g/cm³) = 4.396
# - density of states at the Fermi level (states/eV per atom) = 0.411

=====

# Li2Al3Ga, relaxed, DFT GGA-PBE
data_Li2Al3Ga
_cell_length_a 7.437
_cell_length_b 7.796
_cell_length_c 7.617
_cell_angle_alpha 90.00
_cell_angle_beta 107.13
_cell_angle_gamma 90.00
_space_group_name_H-M_alt 'C 1 2/c 1'
_space_group_IT_number 15
loop_
_space_group_symop_operation_xyz
'x,y,z'
'-x,-y,-z'
'-x,y,-z+1/2'
'x,-y,z+1/2'
'x+1/2,y+1/2,z'
'-x+1/2,-y+1/2,-z'
'-x+1/2,y+1/2,-z+1/2'
'x+1/2,-y+1/2,z+1/2'
loop_
_atom_site_label
_atom_site_type_symbol
_atom_site_fract_x
_atom_site_fract_y
_atom_site_fract_z
Li1 Li 0.125 0.248 0.125
Al1 Al 0.000 0.413 0.750
Al2 Al 0.250 0.083 0.497
Ga1 Ga 0.000 0.083 0.750
# - total moment (μB/cell) = 0.00
# - energy of formation (eV/atom) = -0.090
# - calculated density (g/cm³) = 2.590
# - density of states at the Fermi level (states/eV per atom) = 0.314

=====

# LiAl4Ga2, relaxed, DFT GGA-PBE
data_LiAl4Ga2
_cell_length_a 7.909
_cell_length_b 7.909
_cell_length_c 4.143
_cell_angle_alpha 90.00
_cell_angle_beta 90.00
_cell_angle_gamma 90.00
_space_group_name_H-M_alt 'P 42/m n m'
_space_group_IT_number 136
_space_group_name_Hall '-P 4n 2n'
loop_
_atom_site_label
_atom_site_type_symbol
_atom_site_fract_x
_atom_site_fract_y
_atom_site_fract_z
Li1 Li 0.000 0.000 0.000
Al1 Al 0.092 0.345 0.500
Ga1 Ga 0.199 0.801 0.500
# - total moment (μB/cell) = 0.00
# - energy of formation (eV/atom) = -0.015
# - calculated density (g/cm³) = 3.259
# - density of states at the Fermi level (states/eV per atom) = 0.146

=====

# LiAlGa, relaxed, DFT GGA-PBE
data_LiAlGa
_cell_length_a 6.077
_cell_length_b 6.077
_cell_length_c 6.077
_cell_angle_alpha 90.00
_cell_angle_beta 90.00
_cell_angle_gamma 90.00
_space_group_name_H-M_alt 'F -4 3 m'
_space_group_IT_number 216
_space_group_name_Hall 'F -4 2 3'
loop_
_atom_site_label
_atom_site_type_symbol
_atom_site_fract_x
_atom_site_fract_y
_atom_site_fract_z
Li1 Li 0.000 0.000 0.000
Al1 Al 0.000 0.000 0.500
Ga1 Ga 0.250 0.250 0.750
# - total moment (μB/cell) = 0.00
# - energy of formation (eV/atom) = -0.116
# - calculated density (g/cm³) = 3.068
# - density of states at the Fermi level (states/eV per atom) = 0.552
# - energy above the lowest structure with this stoichiometry (meV/atom) = 36

=====

# LiAlGa2, relaxed, DFT GGA-PBE
data_LiAlGa2
_cell_length_a 4.058
_cell_length_b 4.058
_cell_length_c 17.731
_cell_angle_alpha 90.00
_cell_angle_beta 90.00
_cell_angle_gamma 90.00
_space_group_name_H-M_alt 'I -4 2 d'
_space_group_IT_number 122
_space_group_name_Hall 'I -4 2bw'
loop_
_atom_site_label
_atom_site_type_symbol
_atom_site_fract_x
_atom_site_fract_y
_atom_site_fract_z
Li1 Li 0.000 0.000 0.000
Al1 Al 0.000 0.000 0.500
Ga1 Ga 0.232 0.250 0.125
# - total moment (μB/cell) = 0.00
# - energy of formation (eV/atom) = 0.016
# - calculated density (g/cm³) = 3.943
# - density of states at the Fermi level (states/eV per atom) = 0.379

=====

# LiAlGa2, relaxed, DFT GGA-PBE
data_LiAlGa2
_cell_length_a 5.706
_cell_length_b 8.102
_cell_length_c 2.863
_cell_angle_alpha 90.00
_cell_angle_beta 90.00
_cell_angle_gamma 90.00
_space_group_name_H-M_alt 'C m m m'
_space_group_IT_number 65
_space_group_name_Hall '-C 2 2'
loop_
_atom_site_label
_atom_site_type_symbol
_atom_site_fract_x
_atom_site_fract_y
_atom_site_fract_z
Li1 Li 0.000 0.000 0.000
Al1 Al 0.000 0.500 0.000
Ga1 Ga 0.250 0.250 0.500
# - total moment (μB/cell) = 0.00
# - energy of formation (eV/atom) = -0.138
# - calculated density (g/cm³) = 4.350
# - density of states at the Fermi level (states/eV per atom) = 0.258

=====

# LiAl3Ga6, relaxed, DFT GGA-PBE
data_LiAl3Ga6
_cell_length_a 11.1834
_cell_length_b 11.1834
_cell_length_c 10.2274
_cell_angle_alpha 90.00
_cell_angle_beta 90.00
_cell_angle_gamma 120.00
_space_group_name_H-M_alt 'R -3'
_space_group_IT_number 148
_space_group_name_Hall '-R 3'
loop_
_atom_site_label
_atom_site_type_symbol
_atom_site_fract_x
_atom_site_fract_y
_atom_site_fract_z
Li1 Li 0.0000 0.0000 0.0000
Li2 Li 0.0000 0.0000 0.5000
Al1 Al 0.0364 0.8741 0.2128
Ga1 Ga 0.0550 0.7962 0.4543
Ga2 Ga 0.0644 0.7999 0.9386
# - total moment (μB/cell) = 0.00
# - energy of formation (eV/atom) = 0.002
# - calculated density (g/cm³) = 4.553
# - density of states at the Fermi level (states/eV per atom) = 0.327

=====

# LiAl6Ga8, relaxed, DFT GGA-PBE
data_LiAl6Ga8
_cell_length_a 7.4027
_cell_length_b 7.4027
_cell_length_c 5.9117
_cell_angle_alpha 90.00
_cell_angle_beta 90.00
_cell_angle_gamma 120.00
_space_group_name_H-M_alt 'P -3'
_space_group_IT_number 147
loop_
_space_group_symop_operation_xyz
'x,y,z'
'-x,-y,-z'
'-y,x-y,z'
'y,-x+y,-z'
'-x+y,-x,z'
'x-y,x,-z'
loop_
_atom_site_label
_atom_site_type_symbol
_atom_site_fract_x
_atom_site_fract_y
_atom_site_fract_z
Li1 Li 0.0000 0.0000 0.0000
Al1 Al 0.0740 0.6861 0.1148
Ga1 Ga 0.0031 0.3284 0.3953
Ga2 Ga 0.3333 0.6667 0.7830
# - total moment (μB/cell) = 0.00
# - energy of formation (eV/atom) = 0.073
# - calculated density (g/cm³) = 4.301
# - density of states at the Fermi level (states/eV per atom) = 0.228

=====

# LiAlGa, relaxed, DFT GGA-PBE
data_LiAlGa
_cell_length_a 4.666
_cell_length_b 5.399
_cell_length_c 8.013
_cell_angle_alpha 90.00
_cell_angle_beta 90.00
_cell_angle_gamma 90.00
_space_group_name_H-M_alt 'I m m m'
_space_group_IT_number 71
_space_group_name_Hall '-I 2 2'
loop_
_atom_site_label
_atom_site_type_symbol
_atom_site_fract_x
_atom_site_fract_y
_atom_site_fract_z
Li1 Li 0.000 0.000 0.169
Al1 Al 0.000 0.249 0.500
Ga1 Ga 0.000 0.500 0.171
# - total moment (μB/cell) = 0.00
# - energy of formation (eV/atom) = -0.083
# - calculated density (g/cm³) = 3.411
# - density of states at the Fermi level (states/eV per atom) = 0.240
# - energy above the lowest structure with this stoichiometry (meV/atom) = 70

=====

# LiAl3Ga2, relaxed, DFT GGA-PBE
data_LiAl3Ga2
_cell_length_a 5.724
_cell_length_b 4.267
_cell_length_c 8.390
_cell_angle_alpha 90.00
_cell_angle_beta 96.52
_cell_angle_gamma 90.00
_space_group_name_H-M_alt 'P 1 21/m 1'
_space_group_IT_number 11
loop_
_space_group_symop_operation_xyz
'x,y,z'
'-x,-y,-z'
'-x,y+1/2,-z'
'x,-y+1/2,z'
loop_
_atom_site_label
_atom_site_type_symbol
_atom_site_fract_x
_atom_site_fract_y
_atom_site_fract_z
Li1 Li 0.053 0.250 0.239
Al1 Al 0.227 0.250 0.912
Al2 Al 0.357 0.750 0.432
Al3 Al 0.452 0.750 0.770
Ga1 Ga 0.147 0.250 0.583
Ga2 Ga 0.273 0.750 0.103
# - total moment (μB/cell) = 0.00
# - energy of formation (eV/atom) = -0.069
# - calculated density (g/cm³) = 3.709
# - density of states at the Fermi level (states/eV per atom) = 0.301
# - energy above the lowest structure with this stoichiometry (meV/atom) = 0

=====

# Li3AlGa4, relaxed, DFT GGA-PBE
data_Li3AlGa4
_cell_length_a 20.111
_cell_length_b 3.312
_cell_length_c 4.147
_cell_angle_alpha 90.00
_cell_angle_beta 100.98
_cell_angle_gamma 90.00
_space_group_name_H-M_alt 'C 1 2/m 1'
_space_group_IT_number 12
loop_
_space_group_symop_operation_xyz
'x,y,z'
'-x,-y,-z'
'-x,y,-z'
'x,-y,z'
'x+1/2,y+1/2,z'
'-x+1/2,-y+1/2,-z'
'-x+1/2,y+1/2,-z'
'x+1/2,-y+1/2,z'
loop_
_atom_site_label
_atom_site_type_symbol
_atom_site_fract_x
_atom_site_fract_y
_atom_site_fract_z
Li1 Li 0.000 0.000 0.000
Li2 Li 0.132 0.000 0.628
Al1 Al 0.000 0.500 0.500
Ga1 Ga 0.095 0.500 0.093
Ga2 Ga 0.225 0.500 0.227
# - total moment (μB/cell) = 0.00
# - energy of formation (eV/atom) = -0.152
# - calculated density (g/cm³) = 4.001
# - density of states at the Fermi level (states/eV per atom) = 0.323
# - energy above the lowest structure with this stoichiometry (meV/atom) = 82